Density functional theory data (PBEsol) for crystalline InSnBi3 at its relaxed geometry.

* energy: -3.361 eV/atom
* DFT formation energy: 15.2 kcal/mol of atoms
* total magnetization: 0.00 μB/atom

The structure in CIF format:
```
data_InSnBi3
_chemical_formula_sum 'In1 Sn1 Bi3'
_cell_length_a 5.636
_cell_length_b 5.636
_cell_length_c 5.636
_cell_angle_alpha 90.00
_cell_angle_beta 90.00
_cell_angle_gamma 90.00
_symmetry_space_group_name_H-M 'P m -3 m'
_symmetry_Int_Tables_number 221
_symmetry_space_group_name_Hall '-P 4 2 3'
loop_
_atom_site_label
_atom_site_fract_x
_atom_site_fract_y
_atom_site_fract_z
_atom_site_occupancy
In1 0.000 0.000 0.000 1
Sn1 0.500 0.500 0.500 1
Bi1 0.000 0.000 0.500 1
```


Density functional theory data (PBEsol) for crystalline SrIn2Bi2 at its relaxed geometry.

* energy: -3.553 eV/atom
* DFT formation energy: -6.4 kcal/mol of atoms
* total magnetization: 0.00 μB/atom

The structure in CIF format:
```
data_SrIn2Bi2
_chemical_formula_sum 'Sr2 In4 Bi4'
_cell_length_a 4.483
_cell_length_b 4.483
_cell_length_c 16.007
_cell_angle_alpha 90.00
_cell_angle_beta 90.00
_cell_angle_gamma 90.00
_symmetry_space_group_name_H-M 'I 4/m m m'
_symmetry_Int_Tables_number 139
_symmetry_space_group_name_Hall '-I 4 2'
loop_
_atom_site_label
_atom_site_fract_x
_atom_site_fract_y
_atom_site_fract_z
_atom_site_occupancy
Sr1 0.000 0.000 0.000 1
In1 0.000 0.500 0.250 1
Bi1 0.000 0.000 0.402 1
```


Density functional theory data (PBEsol) for crystalline Sr5In2Bi6 at its relaxed geometry.

* energy: -3.842 eV/atom
* DFT formation energy: -16.1 kcal/mol of atoms
* total magnetization: 0.00 μB/atom

The structure in CIF format:
```
data_Sr5In2Bi6
_chemical_formula_sum 'Sr10 In4 Bi12'
_cell_length_a 7.763
_cell_length_b 24.440
_cell_length_c 4.740
_cell_angle_alpha 90.00
_cell_angle_beta 90.00
_cell_angle_gamma 90.00
_symmetry_space_group_name_H-M 'P b a m'
_symmetry_Int_Tables_number 55
loop_
_symmetry_equiv_pos_as_xyz
'x,y,z'
'-x,-y,-z'
'-x,-y,z'
'x,y,-z'
'x+1/2,-y+1/2,-z'
'-x+1/2,y+1/2,z'
'-x+1/2,y+1/2,-z'
'x+1/2,-y+1/2,z'
loop_
_atom_site_label
_atom_site_fract_x
_atom_site_fract_y
_atom_site_fract_z
_atom_site_occupancy
Sr1 0.000 0.000 0.000 1
Sr2 0.026 0.412 0.000 1
Sr3 0.227 0.243 0.000 1
In1 0.174 0.120 0.500 1
Bi1 0.007 0.688 0.500 1
Bi2 0.049 0.864 0.000 1
Bi3 0.199 0.500 0.500 1
```


Density functional theory data (PBEsol) for crystalline Sr2InBi2 at its relaxed geometry.

* energy: -3.687 eV/atom
* DFT formation energy: -14.8 kcal/mol of atoms
* total magnetization: 0.00 μB/atom

The structure in CIF format:
```
data_Sr2InBi2
_chemical_formula_sum 'Sr4 In2 Bi4'
_cell_length_a 8.406
_cell_length_b 8.406
_cell_length_c 4.774
_cell_angle_alpha 90.00
_cell_angle_beta 90.00
_cell_angle_gamma 90.00
_symmetry_space_group_name_H-M 'P 4/m b m'
_symmetry_Int_Tables_number 127
_symmetry_space_group_name_Hall '-P 4 2ab'
loop_
_atom_site_label
_atom_site_fract_x
_atom_site_fract_y
_atom_site_fract_z
_atom_site_occupancy
Sr1 0.174 0.326 0.000 1
In1 0.000 0.000 0.500 1
Bi1 0.129 0.629 0.500 1
```


Density functional theory data (PBEsol) for crystalline TaInBiTe2 at its relaxed geometry.

* energy: -5.126 eV/atom
* total magnetization: 0.00 μB/atom
* raw formation energy: 5.732 kcal/mol of atoms

The structure in CIF format:
```
data_TaInBiTe2
_chemical_formula_sum 'Ta1 In1 Bi1 Te2'
_cell_length_a 5.358
_cell_length_b 5.358
_cell_length_c 5.545
_cell_angle_alpha 90.00
_cell_angle_beta 90.00
_cell_angle_gamma 90.00
_symmetry_space_group_name_H-M 'P 4/m m m'
_symmetry_Int_Tables_number 123
_symmetry_space_group_name_Hall '-P 4 2'
loop_
_atom_site_label
_atom_site_fract_x
_atom_site_fract_y
_atom_site_fract_z
_atom_site_occupancy
Ta1 0.000 0.000 0.000 1
In1 0.500 0.500 0.500 1
Bi1 0.000 0.000 0.500 1
Te1 0.000 0.500 0.000 1
```